Entry 1:
The following is a DFT calculation (GGA-PBE) of a relaxed NbNi6Ge crystal.

Unit cell a=4.4545 b=4.4545 c=5.7532 alpha=106.12 beta=106.12 gamma=106.43
Sites, in units of the cell vectors:
Ni 0.6292 0.1293 0.2585
Ni 0.7534 0.7533 0.5066
Ni 0.1293 0.6292 0.2585
Ni 0.3708 0.8707 0.7415
Ni 0.2466 0.2467 0.4934
Ni 0.8707 0.3708 0.7415
Nb 0.5000 0.5000 0.0000
Ge 0.0000 0.0000 0.0000

Results
Its raw total energy is -6.34 eV/atom. Its polymorph energy (0 for the lowest one) is 42.2 meV per atom. The value obtained for the density of states at the Fermi level is 9.1 states/eV/cell. The value obtained for the formation energy is -169 meV/atom.

***

Entry 2:
The following is a DFT calculation (GGA-PBE) of a relaxed NbNiGe2 crystal.

Unit cell a=4.4138 b=4.4138 c=4.4138 alpha=60.00 beta=60.00 gamma=60.00
Sites, in units of the cell vectors:
Ni 0.0000 0.0000 0.0000
Ge 0.2500 0.2500 0.2500
Ge 0.7500 0.7500 0.7500
Nb 0.5000 0.5000 0.5000

Results
Its raw total energy is -6.25 eV/atom. The value obtained for the density of states at the Fermi level is 3.1 states/eV/cell. The value obtained for the formation energy is 21 meV/atom.